4
Lattice="2.878 0.000 0.000 1.439 5.826 -0.006 1.439 0.822 5.768" Properties=species:S:1:pos:R:3 comment="Be2AsBr (PBEsol, optimized geometry)" polymorph_energy_ev_per_atom=0.8255 final_energy_ha_per_atom=-0.1179 magmom_total_mub_per_fu=0.0 raw_formation_energy_ev_per_atom=0.5355 pbc="T T T"
Br 2.878 3.893 3.374
Be 4.317 5.051 4.377
Be 2.878 6.502 5.635
As 1.439 1.176 1.019

6
Lattice="-4.120 -2.062 3.893 1.346 -0.441 5.864 -2.546 3.761 3.970" Properties=species:S:1:pos:R:3 comment="BeAsBr4 (PBEsol, optimized geometry)" final_energy_ha_per_atom=-0.0579 magmom_total_mub_per_fu=1.3 raw_formation_energy_ev_per_atom=1.1902 pbc="T T T"
Br -3.269 2.354 7.133
Br -4.057 -0.560 7.095
Br -1.995 0.472 5.146
Br -1.321 0.251 8.081
Be 0.000 0.000 0.000
As -3.990 0.944 10.295

8
Lattice="5.239 0.000 0.000 0.000 5.239 0.000 -2.619 -2.619 5.305" Properties=species:S:1:pos:R:3 comment="Be2AsBr (PBEsol, optimized geometry)" polymorph_energy_ev_per_atom=0.0000 final_energy_ha_per_atom=-0.1482 magmom_total_mub_per_fu=0.0 raw_formation_energy_ev_per_atom=-0.2899 pbc="T T T"
Be 3.726 1.310 1.326
Be 1.310 1.107 3.979
Be -1.310 -1.107 3.979
Be 1.513 3.929 1.326
Br 0.000 2.619 2.653
Br 0.000 0.000 0.000
As 2.619 2.619 0.000
As 2.619 0.000 2.653

5
Lattice="-3.436 0.152 2.735 -0.228 -4.876 -0.015 3.034 -0.154 3.821" Properties=species:S:1:pos:R:3 comment="BeCoAsBr2 (PBEsol, optimized geometry)" final_energy_ha_per_atom=-0.1275 magmom_total_mub_per_fu=0.0 raw_formation_energy_ev_per_atom=0.6464 pbc="T T T"
Co 0.000 0.000 0.000
As -1.718 0.076 1.368
Br -0.114 -2.438 -0.008
Br 1.517 -0.077 1.911
Be -0.315 -2.439 3.270